No. 1
The following is a PBE calculation of a geometry-optimized HgP2Br structure, from the Alexandria database.

Properties
N(E_F) ... 1.2 states/eV/f.u.
Relative energy among the computed polymorphs ... 46 meV/atom
Total moment ... 0.0 μB per formula unit
ΔE_f (raw) ... 0.07 eV per atom

Geometry as extended XYZ:
```
4
Lattice="3.8456 -1.6915 0.0000 3.8456 1.6915 0.0000 -0.1872 0.0000 7.4904" Properties=species:S:1:pos:R:3 pbc="T T T"
Hg 0.0000 0.0000 0.0000
P 2.9996 0.0000 4.3975
P 5.8433 0.0000 5.4791
Br 1.6118 0.0000 2.1783
```


No. 2
The following is a PBE calculation of a geometry-optimized HgP2Br structure, from the Alexandria database.

Properties
N(E_F) ... 3.0 states/eV/f.u.
Relative energy among the computed polymorphs ... 829 meV/atom
Total moment ... 0.0 μB per formula unit
ΔE_f (raw) ... 0.86 eV per atom

Geometry as extended XYZ:
```
4
Lattice="1.5212 0.8783 11.7468 -1.5212 0.8783 11.7468 0.0000 -1.7565 11.7468" Properties=species:S:1:pos:R:3 pbc="T T T"
Hg 0.0000 0.0000 0.0000
P 0.0000 0.0000 9.5349
P 0.0000 0.0000 25.7055
Br 0.0000 0.0000 17.6202
```


What is the formula in the second record? HgP2Br


Which formula does entry 2 have? HgP2Br